1.
## TlCdSi2H (PBE-GGA)

Data for crystalline TlCdSi2H at its relaxed geometry.

a b c (Å): 4.0958 4.0958 5.3720
angles (deg): 90.00 90.00 90.00
Sites, in units of the cell vectors:
Tl: 0.0000 0.0000 0.0000
Cd: 0.5000 0.5000 0.0000
Si: 0.0000 0.5000 0.5000
Si: 0.5000 0.0000 0.5000
H: 0.5000 0.5000 0.5000

D(E_F), states/eV per cell: 1.7
Final energy, eV per cell: -14.4

***

2.
## TlCdSiH2 (PBE-GGA)

Data for crystalline TlCdSiH2 at its relaxed geometry.

a b c (Å): 3.8998 3.8998 5.8178
angles (deg): 90.00 90.00 90.00
Sites, in units of the cell vectors:
Tl: 0.0000 0.0000 0.0000
Cd: 0.5000 0.5000 0.5000
Si: 0.0000 0.0000 0.5000
H: 0.0000 0.5000 0.0000
H: 0.5000 0.0000 0.0000

D(E_F), states/eV per cell: 1.7
Final energy, eV per cell: -12.6

***

3.
## ZnCdSiH2 (PBE-GGA)

Data for crystalline ZnCdSiH2 at its relaxed geometry.

a b c (Å): 3.7096 3.7096 5.1343
angles (deg): 90.00 90.00 90.00
Sites, in units of the cell vectors:
Zn: 0.0000 0.0000 0.0000
Cd: 0.5000 0.5000 0.0000
Si: 0.0000 0.0000 0.5000
H: 0.0000 0.5000 0.5000
H: 0.5000 0.0000 0.5000

D(E_F), states/eV per cell: 1.2
Final energy, eV per cell: -12.5

***

4.
## Sm12Cd3H5 (PBE-GGA)

Data for crystalline Sm12Cd3H5 at its relaxed geometry.

a b c (Å): 13.7899 13.7899 13.7899
angles (deg): 109.47 109.47 109.47
Sites, in units of the cell vectors:
Sm: 0.0119 0.2046 0.1076
Sm: 0.0119 0.3073 0.9043
Sm: 0.0957 0.6076 0.4030
Sm: 0.0957 0.9881 0.6927
Sm: 0.0970 0.7046 0.6927
Sm: 0.0970 0.8924 0.4043
Sm: 0.1076 0.0119 0.2046
Sm: 0.1076 0.5957 0.9030
Sm: 0.1927 0.2046 0.5970
Sm: 0.1927 0.4881 0.5957
Sm: 0.2046 0.1076 0.0119
Sm: 0.2046 0.5970 0.1927
Sm: 0.2954 0.3073 0.9030
Sm: 0.2954 0.4881 0.3924
Sm: 0.3073 0.9030 0.2954
Sm: 0.3073 0.9043 0.0119
Sm: 0.3924 0.2954 0.4881
Sm: 0.3924 0.5970 0.9043
Sm: 0.4030 0.0957 0.6076
Sm: 0.4030 0.8073 0.7954
Sm: 0.4043 0.0970 0.8924
Sm: 0.4043 0.8073 0.5119
Sm: 0.4881 0.3924 0.2954
Sm: 0.4881 0.5957 0.1927
Sm: 0.5119 0.4043 0.8073
Sm: 0.5119 0.6076 0.7046
Sm: 0.5957 0.1927 0.4881
Sm: 0.5957 0.9030 0.1076
Sm: 0.5970 0.1927 0.2046
Sm: 0.5970 0.9043 0.3924
Sm: 0.6076 0.4030 0.0957
Sm: 0.6076 0.7046 0.5119
Sm: 0.6927 0.0957 0.9881
Sm: 0.6927 0.0970 0.7046
Sm: 0.7046 0.5119 0.6076
Sm: 0.7046 0.6927 0.0970
Sm: 0.7954 0.4030 0.8073
Sm: 0.7954 0.8924 0.9881
Sm: 0.8073 0.5119 0.4043
Sm: 0.8073 0.7954 0.4030
Sm: 0.8924 0.4043 0.0970
Sm: 0.8924 0.9881 0.7954
Sm: 0.9030 0.1076 0.5957
Sm: 0.9030 0.2954 0.3073
Sm: 0.9043 0.0119 0.3073
Sm: 0.9043 0.3924 0.5970
Sm: 0.9881 0.6927 0.0957
Sm: 0.9881 0.7954 0.8924
Cd: 0.1250 0.2500 0.3750
Cd: 0.1250 0.3750 0.7500
Cd: 0.2500 0.3750 0.1250
Cd: 0.2500 0.8750 0.6250
Cd: 0.3750 0.1250 0.2500
Cd: 0.3750 0.7500 0.1250
Cd: 0.6250 0.2500 0.8750
Cd: 0.6250 0.8750 0.7500
Cd: 0.7500 0.1250 0.3750
Cd: 0.7500 0.6250 0.8750
Cd: 0.8750 0.6250 0.2500
Cd: 0.8750 0.7500 0.6250
H: 0.0000 0.0000 0.0000
H: 0.0000 0.0000 0.5000
H: 0.0000 0.5000 0.0000
H: 0.0000 0.5000 0.5000
H: 0.1250 0.7500 0.8750
H: 0.1250 0.8750 0.2500
H: 0.2500 0.1250 0.8750
H: 0.2500 0.6250 0.3750
H: 0.3750 0.2500 0.6250
H: 0.3750 0.6250 0.7500
H: 0.5000 0.0000 0.0000
H: 0.5000 0.0000 0.5000
H: 0.5000 0.5000 0.0000
H: 0.5000 0.5000 0.5000
H: 0.6250 0.3750 0.2500
H: 0.6250 0.7500 0.3750
H: 0.7500 0.3750 0.6250
H: 0.7500 0.8750 0.1250
H: 0.8750 0.1250 0.7500
H: 0.8750 0.2500 0.1250

D(E_F), states/eV per cell: 78.5
Final energy, eV per cell: -319.9

***

5.
## Sm2CdH2 (PBE-GGA)

Data for crystalline Sm2CdH2 at its relaxed geometry.

a b c (Å): 3.8946 3.8946 12.3858
angles (deg): 90.00 90.00 90.00
Sites, in units of the cell vectors:
Sm: 0.0000 0.0000 0.1506
Sm: 0.0000 0.0000 0.8494
Sm: 0.5000 0.5000 0.3494
Sm: 0.5000 0.5000 0.6506
Cd: 0.0000 0.0000 0.5000
Cd: 0.5000 0.5000 0.0000
H: 0.0000 0.5000 0.2500
H: 0.0000 0.5000 0.7500
H: 0.5000 0.0000 0.2500
H: 0.5000 0.0000 0.7500

D(E_F), states/eV per cell: 5.8
Final energy, eV per cell: -39.5

***

6.
## Sm4Cd2H (PBE-GGA)

Data for crystalline Sm4Cd2H at its relaxed geometry.

a b c (Å): 4.8390 4.8390 15.9611
angles (deg): 90.00 90.00 90.00
Sites, in units of the cell vectors:
Sm: 0.0000 0.0000 0.1783
Sm: 0.0000 0.0000 0.8217
Sm: 0.0000 0.5000 0.0000
Sm: 0.0000 0.5000 0.5000
Sm: 0.5000 0.0000 0.0000
Sm: 0.5000 0.0000 0.5000
Sm: 0.5000 0.5000 0.3217
Sm: 0.5000 0.5000 0.6783
Cd: 0.0000 0.0000 0.3682
Cd: 0.0000 0.0000 0.6318
Cd: 0.5000 0.5000 0.1318
Cd: 0.5000 0.5000 0.8682
H: 0.0000 0.0000 0.0000
H: 0.5000 0.5000 0.5000

D(E_F), states/eV per cell: 11.8
Final energy, eV per cell: -50.8

***

7.
## Cd2SnH (PBE-GGA)

Data for crystalline Cd2SnH at its relaxed geometry.

a b c (Å): 5.3088 5.3088 12.4989
angles (deg): 90.00 90.00 90.00
Sites, in units of the cell vectors:
Cd: 0.1123 0.2500 0.1250
Cd: 0.2500 0.6123 0.3750
Cd: 0.2500 0.8877 0.8750
Cd: 0.3877 0.2500 0.6250
Cd: 0.6123 0.7500 0.6250
Cd: 0.7500 0.1123 0.8750
Cd: 0.7500 0.3877 0.3750
Cd: 0.8877 0.7500 0.1250
Sn: 0.0000 0.0000 0.5000
Sn: 0.0000 0.5000 0.7500
Sn: 0.5000 0.0000 0.2500
Sn: 0.5000 0.5000 0.0000
H: 0.0000 0.0000 0.0000
H: 0.0000 0.5000 0.2500
H: 0.5000 0.0000 0.7500
H: 0.5000 0.5000 0.5000

E above lowest polymorph, meV per atom: 0
D(E_F), states/eV per cell: 4.6

***

8.
## Cd2SnH2 (PBE-GGA)

Data for crystalline Cd2SnH2 at its relaxed geometry.

a b c (Å): 3.4212 3.4212 14.2840
angles (deg): 90.00 90.00 90.00
Sites, in units of the cell vectors:
Cd: 0.0000 0.0000 0.1564
Cd: 0.0000 0.0000 0.8436
Cd: 0.5000 0.5000 0.3436
Cd: 0.5000 0.5000 0.6564
Sn: 0.0000 0.0000 0.5000
Sn: 0.5000 0.5000 0.0000
H: 0.0000 0.5000 0.2500
H: 0.0000 0.5000 0.7500
H: 0.5000 0.0000 0.2500
H: 0.5000 0.0000 0.7500

E above lowest polymorph, meV per atom: 243
D(E_F), states/eV per cell: 2.5

***

9.
## Cd2SnH2 (PBE-GGA)

Data for crystalline Cd2SnH2 at its relaxed geometry.

a b c (Å): 8.5398 5.0612 5.0676
angles (deg): 90.00 126.41 90.00
Sites, in units of the cell vectors:
Cd: 0.2496 0.0000 0.2499
Cd: 0.2504 0.5000 0.7501
Cd: 0.7504 0.0000 0.7501
Cd: 0.7496 0.5000 0.2499
Sn: 0.0000 0.0000 0.5000
Sn: 0.5000 0.5000 0.5000
H: 0.0555 0.5000 0.0526
H: 0.4445 0.0000 0.9474
H: 0.5555 0.0000 0.0526
H: 0.9445 0.5000 0.9474

E above lowest polymorph, meV per atom: 0
D(E_F), states/eV per cell: 1.6

***

10.
## CdSn3H (PBE-GGA)

Data for crystalline CdSn3H at its relaxed geometry.

a b c (Å): 4.8015 4.8015 4.8015
angles (deg): 90.00 90.00 90.00
Sites, in units of the cell vectors:
Cd: 0.0000 0.0000 0.0000
Sn: 0.0000 0.5000 0.5000
Sn: 0.5000 0.0000 0.5000
Sn: 0.5000 0.5000 0.0000
H: 0.5000 0.5000 0.5000

D(E_F), states/eV per cell: 2.9
Final energy, eV per cell: -15.0

***

11.
## CdSnH (PBE-GGA)

Data for crystalline CdSnH at its relaxed geometry.

a b c (Å): 4.1642 4.1642 8.5477
angles (deg): 90.00 90.00 90.00
Sites, in units of the cell vectors:
Cd: 0.0000 0.0000 0.0000
Cd: 0.5000 0.5000 0.5000
Sn: 0.0000 0.0000 0.4507
Sn: 0.5000 0.5000 0.9507
H: 0.0000 0.0000 0.2370
H: 0.5000 0.5000 0.7370

E above lowest polymorph, meV per atom: 80
D(E_F), states/eV per cell: 1.6

***

12.
## CdSnH (PBE-GGA)

Data for crystalline CdSnH at its relaxed geometry.

a b c (Å): 3.2944 3.2944 6.2215
angles (deg): 90.00 90.00 120.00
Sites, in units of the cell vectors:
Cd: 0.0000 0.0000 0.0000
Sn: 0.6667 0.3333 0.4268
H: 0.3333 0.6667 0.8673

E above lowest polymorph, meV per atom: 179
D(E_F), states/eV per cell: 1.2

***

Copy entry 11 word for word.
## CdSnH (PBE-GGA)

Data for crystalline CdSnH at its relaxed geometry.

a b c (Å): 4.1642 4.1642 8.5477
angles (deg): 90.00 90.00 90.00
Sites, in units of the cell vectors:
Cd: 0.0000 0.0000 0.0000
Cd: 0.5000 0.5000 0.5000
Sn: 0.0000 0.0000 0.4507
Sn: 0.5000 0.5000 0.9507
H: 0.0000 0.0000 0.2370
H: 0.5000 0.5000 0.7370

E above lowest polymorph, meV per atom: 80
D(E_F), states/eV per cell: 1.6